# 1
Density functional theory data (GGA-PBE) for Ac3BiO2 after structural relaxation.

Results
Formation energy (no corrections) in eV/atom: -2.112
Calculated volume in Å³/atom: 30.3
Theoretical density in g cm⁻³: 8.4
Magnetization in Bohr magnetons per cell: 0.02
Calculated total energy in eV per atom: -6.4662

The structure in CIF format:
```
data_Ac3BiO2
_chemical_formula_sum 'Ac6 Bi2 O4'
_space_group_name_H-M_alt 'P 1'
_space_group_IT_number 1
_space_group_name_Hall 'P 1'
_cell_length_a 7.882
_cell_length_b 7.882
_cell_length_c 5.937
_cell_angle_alpha 90.00
_cell_angle_beta 90.00
_cell_angle_gamma 99.79
loop_
_atom_site_label
_atom_site_fract_x
_atom_site_fract_y
_atom_site_fract_z
Ac1 0.104 0.896 0.750
Ac2 0.189 0.399 0.750
Ac3 0.399 0.189 0.250
Ac4 0.601 0.811 0.750
Ac5 0.811 0.601 0.250
Ac6 0.896 0.104 0.250
Bi1 0.317 0.683 0.250
Bi2 0.683 0.317 0.750
O1 0.150 0.150 0.000
O2 0.150 0.150 0.500
O3 0.850 0.850 0.000
O4 0.850 0.850 0.500
```

***

# 2
Density functional theory data (GGA-PBE) for Ce4Sb2PS after structural relaxation.

Results
Formation energy (no corrections) in eV/atom: -1.376
Calculated volume in Å³/atom: 27.6
Theoretical density in g cm⁻³: 6.5
Magnetization in Bohr magnetons per cell: 6.53
Calculated total energy in eV per atom: -6.5661

The structure in CIF format:
```
data_Ce4Sb2PS
_chemical_formula_sum 'Ce8 Sb4 P2 S2'
_space_group_name_H-M_alt 'P 1'
_space_group_IT_number 1
_space_group_name_Hall 'P 1'
_cell_length_a 8.551
_cell_length_b 8.551
_cell_length_c 8.551
_cell_angle_alpha 120.23
_cell_angle_beta 119.76
_cell_angle_gamma 90.01
loop_
_atom_site_label
_atom_site_fract_x
_atom_site_fract_y
_atom_site_fract_z
Ce1 0.260 0.242 0.482
Ce2 0.260 0.779 0.018
Ce3 0.261 0.241 0.020
Ce4 0.278 0.759 0.520
Ce5 0.722 0.241 0.480
Ce6 0.739 0.759 0.980
Ce7 0.740 0.221 0.982
Ce8 0.740 0.758 0.518
Sb1 0.000 0.000 0.500
Sb2 0.000 0.500 0.000
Sb3 0.000 0.500 0.500
Sb4 0.500 0.500 0.000
P1 0.500 0.000 0.000
P2 0.500 0.500 0.500
S1 0.000 0.000 0.000
S2 0.500 0.000 0.500
```

***

# 3
Density functional theory data (GGA-PBE) for PmNi2Sn after structural relaxation.

Results
ΔH_f (0 K) in meV/atom: -249
Calculated volume in Å³/atom: 18.4
Theoretical density in g cm⁻³: 8.6
Magnetization in Bohr magnetons per cell: 0.00
Calculated total energy in eV per atom: -5.3276

The structure in CIF format:
```
data_PmNi2Sn
_chemical_formula_sum 'Pm1 Ni2 Sn1'
_space_group_name_H-M_alt 'P 1'
_space_group_IT_number 1
_space_group_name_Hall 'P 1'
_cell_length_a 4.587
_cell_length_b 4.587
_cell_length_c 3.493
_cell_angle_alpha 90.00
_cell_angle_beta 90.00
_cell_angle_gamma 90.00
loop_
_atom_site_label
_atom_site_fract_x
_atom_site_fract_y
_atom_site_fract_z
Pm1 0.000 0.000 0.000
Ni1 0.000 0.500 0.500
Ni2 0.500 0.000 0.500
Sn1 0.500 0.500 0.000
```

***

# 4
Density functional theory data (GGA-PBE) for NaTl4Hg5 after structural relaxation.

Results
ΔH_f (0 K) in meV/atom: -42
Calculated volume in Å³/atom: 29.7
Theoretical density in g cm⁻³: 10.3
Magnetization in Bohr magnetons per cell: 0.00
Calculated total energy in eV per atom: -1.2709

The structure in CIF format:
```
data_NaTl4Hg5
_chemical_formula_sum 'Na1 Tl4 Hg5'
_space_group_name_H-M_alt 'P 1'
_space_group_IT_number 1
_space_group_name_Hall 'P 1'
_cell_length_a 7.527
_cell_length_b 7.527
_cell_length_c 7.527
_cell_angle_alpha 100.35
_cell_angle_beta 100.35
_cell_angle_gamma 129.84
loop_
_atom_site_label
_atom_site_fract_x
_atom_site_fract_y
_atom_site_fract_z
Na1 0.000 0.000 0.000
Tl1 0.064 0.829 0.391
Tl2 0.438 0.674 0.609
Tl3 0.674 0.064 0.235
Tl4 0.829 0.438 0.765
Hg1 0.148 0.513 0.158
Hg2 0.356 0.990 0.842
Hg3 0.513 0.356 0.365
Hg4 0.520 0.520 0.000
Hg5 0.990 0.148 0.635
```

***

# 5
Density functional theory data (GGA-PBE) for YErCdTc after structural relaxation.

Results
ΔH_f (0 K) in meV/atom: -105
Calculated volume in Å³/atom: 22.5
Theoretical density in g cm⁻³: 8.6
Magnetization in Bohr magnetons per cell: 0.00
Calculated total energy in eV per atom: -5.6817

The structure in CIF format:
```
data_YErCdTc
_chemical_formula_sum 'Y4 Er4 Cd4 Tc4'
_space_group_name_H-M_alt 'P 1'
_space_group_IT_number 1
_space_group_name_Hall 'P 1'
_cell_length_a 7.110
_cell_length_b 7.110
_cell_length_c 7.110
_cell_angle_alpha 90.00
_cell_angle_beta 90.00
_cell_angle_gamma 90.00
loop_
_atom_site_label
_atom_site_fract_x
_atom_site_fract_y
_atom_site_fract_z
Y1 0.000 0.000 0.000
Y2 0.000 0.500 0.500
Y3 0.500 0.000 0.500
Y4 0.500 0.500 0.000
Er1 0.000 0.000 0.500
Er2 0.000 0.500 0.000
Er3 0.500 0.000 0.000
Er4 0.500 0.500 0.500
Cd1 0.250 0.250 0.250
Cd2 0.250 0.750 0.750
Cd3 0.750 0.250 0.750
Cd4 0.750 0.750 0.250
Tc1 0.250 0.250 0.750
Tc2 0.250 0.750 0.250
Tc3 0.750 0.250 0.250
Tc4 0.750 0.750 0.750
```

***

# 6
Density functional theory data (GGA-PBE) for Pr5Nd6Dy2 after structural relaxation.

Results
ΔH_f (0 K) in meV/atom: 88
Calculated volume in Å³/atom: 35.5
Theoretical density in g cm⁻³: 6.8
Magnetization in Bohr magnetons per cell: 0.00
Calculated total energy in eV per atom: -4.6591

The structure in CIF format:
```
data_Pr5Nd6Dy2
_chemical_formula_sum 'Pr10 Nd12 Dy4'
_space_group_name_H-M_alt 'P 1'
_space_group_IT_number 1
_space_group_name_Hall 'P 1'
_cell_length_a 11.890
_cell_length_b 21.112
_cell_length_c 3.678
_cell_angle_alpha 90.00
_cell_angle_beta 90.00
_cell_angle_gamma 90.00
loop_
_atom_site_label
_atom_site_fract_x
_atom_site_fract_y
_atom_site_fract_z
Pr1 0.000 0.000 0.000
Pr2 0.085 0.273 0.000
Pr3 0.198 0.554 0.000
Pr4 0.302 0.054 0.000
Pr5 0.415 0.773 0.000
Pr6 0.500 0.500 0.000
Pr7 0.585 0.227 0.000
Pr8 0.698 0.946 0.000
Pr9 0.802 0.446 0.000
Pr10 0.915 0.727 0.000
Nd1 0.063 0.420 0.500
Nd2 0.082 0.132 0.500
Nd3 0.175 0.861 0.000
Nd4 0.325 0.361 0.000
Nd5 0.418 0.632 0.500
Nd6 0.437 0.920 0.500
Nd7 0.563 0.080 0.500
Nd8 0.582 0.368 0.500
Nd9 0.675 0.639 0.000
Nd10 0.825 0.139 0.000
Nd11 0.918 0.868 0.500
Nd12 0.937 0.580 0.500
Dy1 0.171 0.711 0.500
Dy2 0.329 0.211 0.500
Dy3 0.671 0.789 0.500
Dy4 0.829 0.289 0.500
```

***

> Among the records above, which one has the highest calculated volume?

Pr5Nd6Dy2

***

> What is the calculated volume in the first record?

30.3 Å³/atom

***

> What is the formula in the fifth record?

YErCdTc